[1]
HfNiO2: relaxed, PBE with a Hubbard U. Values from VASP.

Properties
Total magnetic moment   0.00 μB/f.u.
Symmetry   No. 122
E_tot   -57.3 eV/cell
Distance to the lowest polymorph of the same formula   2.19 eV/f.u.

```
&SYSTEM
  ibrav = 0, nat = 8, ntyp = 3
/
ATOMIC_SPECIES
Ni 58.69 Ni.upf
O 16.00 O.upf
Hf 178.49 Hf.upf
CELL_PARAMETERS angstrom
4.071 0.000 0.000
0.000 4.071 0.000
2.036 2.036 5.864
ATOMIC_POSITIONS crystal
Ni 0.500 0.500 0.000
Ni 0.250 0.750 0.500
O 0.875 0.885 0.750
O 0.375 0.365 0.750
O 0.115 0.625 0.250
O 0.635 0.125 0.250
Hf 0.750 0.250 0.500
Hf 0.000 0.000 0.000
```



[2]
HfNiO2: relaxed, PBE with a Hubbard U. Values from VASP.

Properties
Total magnetic moment   0.00 μB/f.u.
Symmetry   No. 225
E_tot   -28.0 eV/cell
Distance to the lowest polymorph of the same formula   2.81 eV/f.u.

```
&SYSTEM
  ibrav = 0, nat = 4, ntyp = 3
/
ATOMIC_SPECIES
O 16.00 O.upf
Ni 58.69 Ni.upf
Hf 178.49 Hf.upf
CELL_PARAMETERS angstrom
0.000 2.685 2.685
2.685 0.000 2.685
2.685 2.685 0.000
ATOMIC_POSITIONS crystal
O 0.750 0.750 0.750
O 0.250 0.250 0.250
Ni 0.000 0.000 0.000
Hf 0.500 0.500 0.500
```



[3]
HfNiO2: relaxed, PBE with a Hubbard U. Values from VASP.

Properties
Total magnetic moment   1.00 μB/f.u.
Symmetry   No. 2
E_tot   -61.6 eV/cell
Distance to the lowest polymorph of the same formula   0.00 eV/f.u.

```
&SYSTEM
  ibrav = 0, nat = 8, ntyp = 3
/
ATOMIC_SPECIES
Hf 178.49 Hf.upf
O 16.00 O.upf
Ni 58.69 Ni.upf
CELL_PARAMETERS angstrom
8.427 -0.496 -1.081
-1.184 3.535 0.108
-0.481 -0.017 3.768
ATOMIC_POSITIONS crystal
Hf 0.448 0.764 0.970
Hf 0.804 0.210 0.637
O 0.343 0.169 0.921
O 0.909 0.805 0.687
O 0.546 0.772 0.522
O 0.706 0.202 0.085
Ni 0.123 0.739 0.091
Ni 0.129 0.235 0.517
```



[4]
HfPaNiO6: relaxed, PBE with a Hubbard U. Values from VASP.

Properties
Total magnetic moment   2.98 μB/f.u.
Symmetry   No. 149
E_tot   -75.8 eV/cell

```
&SYSTEM
  ibrav = 0, nat = 9, ntyp = 4
/
ATOMIC_SPECIES
O 16.00 O.upf
Ni 58.69 Ni.upf
Hf 178.49 Hf.upf
Pa 231.04 Pa.upf
CELL_PARAMETERS angstrom
4.857 0.000 0.000
0.000 5.206 0.000
0.000 -2.603 4.508
ATOMIC_POSITIONS crystal
O 0.732 0.324 0.004
O 0.268 0.324 0.320
O 0.732 0.996 0.320
O 0.268 0.680 0.004
O 0.732 0.680 0.676
O 0.268 0.996 0.676
Ni 0.500 0.000 0.000
Hf 0.500 0.667 0.333
Pa 0.000 0.333 0.667
```



[5]
PuHfNiO6: relaxed, PBE with a Hubbard U. Values from VASP.

Properties
Total magnetic moment   1.92 μB/f.u.
Symmetry   No. 163
E_tot   -154.8 eV/cell

```
&SYSTEM
  ibrav = 0, nat = 18, ntyp = 4
/
ATOMIC_SPECIES
O 16.00 O.upf
Ni 58.69 Ni.upf
Pu 244.00 Pu.upf
Hf 178.49 Hf.upf
CELL_PARAMETERS angstrom
5.456 0.000 0.000
-2.728 4.725 0.000
0.000 0.000 8.852
ATOMIC_POSITIONS crystal
O 0.656 0.659 0.631
O 0.344 0.341 0.369
O 0.997 0.341 0.131
O 0.341 0.344 0.869
O 0.341 0.997 0.631
O 0.659 0.656 0.131
O 0.656 0.997 0.869
O 0.003 0.659 0.869
O 0.003 0.344 0.631
O 0.344 0.003 0.131
O 0.659 0.003 0.369
O 0.997 0.656 0.369
Ni 0.000 0.000 0.000
Ni 0.000 0.000 0.500
Pu 0.333 0.667 0.750
Pu 0.667 0.333 0.250
Hf 0.667 0.333 0.750
Hf 0.333 0.667 0.250
```



[6]
HfNiTeO6: relaxed, PBE with a Hubbard U. Values from VASP.

Properties
Total magnetic moment   2.04 μB/f.u.
Symmetry   No. 163
E_tot   -122.4 eV/cell

```
&SYSTEM
  ibrav = 0, nat = 18, ntyp = 4
/
ATOMIC_SPECIES
O 16.00 O.upf
Ni 58.69 Ni.upf
Te 127.60 Te.upf
Hf 178.49 Hf.upf
CELL_PARAMETERS angstrom
5.289 0.000 0.000
-2.645 4.581 0.000
0.000 0.000 8.940
ATOMIC_POSITIONS crystal
O 0.359 0.019 0.131
O 0.660 0.641 0.131
O 0.660 0.019 0.369
O 0.641 0.981 0.869
O 0.340 0.981 0.631
O 0.981 0.340 0.131
O 0.981 0.641 0.369
O 0.359 0.340 0.369
O 0.019 0.359 0.631
O 0.019 0.660 0.869
O 0.641 0.660 0.631
O 0.340 0.359 0.869
Ni 0.000 0.000 0.000
Ni 0.000 0.000 0.500
Te 0.667 0.333 0.250
Te 0.333 0.667 0.750
Hf 0.333 0.667 0.250
Hf 0.667 0.333 0.750
```



[7]
HfNi2TeO6: relaxed, PBE with a Hubbard U. Values from VASP.

Properties
Total magnetic moment   3.07 μB/f.u.
Symmetry   No. 99
E_tot   -61.3 eV/cell

```
&SYSTEM
  ibrav = 0, nat = 10, ntyp = 4
/
ATOMIC_SPECIES
O 16.00 O.upf
Ni 58.69 Ni.upf
Hf 178.49 Hf.upf
Te 127.60 Te.upf
CELL_PARAMETERS angstrom
4.029 0.000 0.000
0.000 5.907 0.000
0.000 0.000 5.907
ATOMIC_POSITIONS crystal
O 0.746 0.252 0.252
O 0.201 0.000 0.000
O 0.205 0.500 0.500
O 0.746 0.252 0.748
O 0.746 0.748 0.252
O 0.746 0.748 0.748
Ni 0.842 0.500 0.000
Ni 0.842 0.000 0.500
Hf 0.679 0.000 0.000
Te 0.692 0.500 0.500
```



[8]
HfTl2NiO: relaxed, PBE with a Hubbard U. Values from VASP.

Properties
Total magnetic moment   1.67 μB/f.u.
Symmetry   No. 123
E_tot   -21.0 eV/cell

```
&SYSTEM
  ibrav = 0, nat = 5, ntyp = 4
/
ATOMIC_SPECIES
Tl 204.38 Tl.upf
Ni 58.69 Ni.upf
Hf 178.49 Hf.upf
O 16.00 O.upf
CELL_PARAMETERS angstrom
5.471 0.000 0.000
0.000 3.434 0.000
0.000 0.000 5.471
ATOMIC_POSITIONS crystal
Tl 0.000 0.000 0.500
Tl 0.500 0.000 0.000
Ni 0.000 0.000 0.000
Hf 0.500 0.500 0.500
O 0.000 0.500 0.000
```



[9]
HfVNi2O: relaxed, PBE with a Hubbard U. Values from VASP.

Properties
Total magnetic moment   2.00 μB/f.u.
Symmetry   No. 123
E_tot   -18.2 eV/cell

```
&SYSTEM
  ibrav = 0, nat = 5, ntyp = 4
/
ATOMIC_SPECIES
O 16.00 O.upf
Ni 58.69 Ni.upf
V 50.94 V.upf
Hf 178.49 Hf.upf
CELL_PARAMETERS angstrom
-1.223 0.449 -3.839
1.911 -4.839 -1.175
-3.581 -1.645 0.949
ATOMIC_POSITIONS crystal
O 0.500 0.500 0.500
Ni 0.000 0.000 0.500
Ni 0.500 0.000 0.000
V 0.000 0.000 0.000
Hf 0.000 0.500 0.000
```



[10]
YHf2NiO: relaxed, PBE with a Hubbard U. Values from VASP.

Properties
Total magnetic moment   0.00 μB/f.u.
Symmetry   No. 123
E_tot   -27.6 eV/cell

```
&SYSTEM
  ibrav = 0, nat = 5, ntyp = 4
/
ATOMIC_SPECIES
O 16.00 O.upf
Ni 58.69 Ni.upf
Hf 178.49 Hf.upf
Y 88.91 Y.upf
CELL_PARAMETERS angstrom
-5.174 -1.850 -0.090
0.932 -2.744 2.833
-1.355 3.596 3.929
ATOMIC_POSITIONS crystal
O 0.000 0.500 0.000
Ni 0.500 0.500 0.500
Hf 0.500 0.000 0.000
Hf 0.000 0.000 0.500
Y 0.000 0.000 0.000
```